No. 1
BaLiAg4: single point on PBEsol structure, meta-GGA SCAN.

Computed properties:
As for the energy of formation from the pure elements: -2.9 kcal/mol of atoms. The crystal system is cubic. The raw total energy comes out at -672.665 eV per cell. Its magnetic moment is 0.0 μB/f.u.

a = 8.042 Å, b = 8.042 Å, c = 8.042 Å
α = 90.00°, β = 90.00°, γ = 90.00°
Space group F-43m (No. 216)
Symmetry-distinct sites (fractional):
1 Ba 0.000 0.000 0.000
2 Li 0.250 0.250 0.750
3 Ag 0.124 0.124 0.376

=====

No. 2
RePPd2Pb: single point on PBEsol structure, meta-GGA SCAN.

Computed properties:
As for the energy of formation from the pure elements: 45.4 kcal/mol of atoms. The crystal system is tetragonal. The raw total energy comes out at -212.988 eV per cell. Its magnetic moment is 3.0 μB/f.u.

a = 4.872 Å, b = 4.872 Å, c = 5.109 Å
α = 90.00°, β = 90.00°, γ = 90.00°
Space group P4/mmm (No. 123)
Symmetry-distinct sites (fractional):
1 Re 0.000 0.000 0.000
2 P 0.500 0.500 0.000
3 Pd 0.000 0.500 0.500
4 Pb 0.000 0.000 0.500

=====

No. 3
TbInCu2: single point on PBEsol structure, meta-GGA SCAN.

Computed properties:
As for the energy of formation from the pure elements: -8.9 kcal/mol of atoms. The crystal system is cubic. The raw total energy comes out at -448.377 eV per cell. Its magnetic moment is 0.0 μB/f.u.

a = 6.532 Å, b = 6.532 Å, c = 6.532 Å
α = 90.00°, β = 90.00°, γ = 90.00°
Space group Fm-3m (No. 225)
Symmetry-distinct sites (fractional):
1 Tb 0.000 0.000 0.000
2 In 0.000 0.000 0.500
3 Cu 0.250 0.250 0.250

=====

No. 4
MgZnMo: single point on PBEsol structure, meta-GGA SCAN.

Computed properties:
As for the energy of formation from the pure elements: 23.7 kcal/mol of atoms. The crystal system is cubic. The raw total energy comes out at -201.179 eV per cell. Its magnetic moment is 2.5 μB/f.u.

a = 6.177 Å, b = 6.177 Å, c = 6.177 Å
α = 90.00°, β = 90.00°, γ = 90.00°
Space group F-43m (No. 216)
Symmetry-distinct sites (fractional):
1 Mg 0.000 0.000 0.000
2 Zn 0.000 0.000 0.500
3 Mo 0.250 0.250 0.750

=====

No. 5
Mg2RuPt: single point on PBEsol structure, meta-GGA SCAN.

Computed properties:
As for the energy of formation from the pure elements: -6.1 kcal/mol of atoms. The crystal system is trigonal. The raw total energy comes out at -348.070 eV per cell. Its magnetic moment is 0.0 μB/f.u.

a = 2.8626 Å, b = 2.8626 Å, c = 25.9951 Å
α = 90.00°, β = 90.00°, γ = 120.00°
Space group R-3m (No. 166, hexagonal axes)
Symmetry-distinct sites (fractional):
1 Mg 0.0000 0.0000 0.2494
2 Ru 0.0000 0.0000 0.5000
3 Pt 0.0000 0.0000 0.0000

=====

No. 6
FeCo16NiS16: single point on PBEsol structure, meta-GGA SCAN.

Computed properties:
The crystal system is tetragonal. The raw total energy comes out at -479.490 eV per cell. Its magnetic moment is 0.0 μB/f.u. As for the raw formation energy: -0.42 eV/atom.

a = 6.830 Å, b = 6.830 Å, c = 9.652 Å
α = 90.00°, β = 90.00°, γ = 90.00°
Space group P4/mmm (No. 123)
Symmetry-distinct sites (fractional):
1 Fe 0.000 0.000 0.000
2 Co 0.000 0.253 0.372
3 Co 0.247 0.500 0.125
4 Ni 0.500 0.500 0.500
5 S 0.000 0.000 0.235
6 S 0.000 0.500 0.248
7 S 0.235 0.235 0.000
8 S 0.259 0.259 0.500
9 S 0.500 0.500 0.259

=====

No. 7
MgPb3: single point on PBEsol structure, meta-GGA SCAN.

Computed properties:
As for the energy of formation from the pure elements: -0.3 kcal/mol of atoms. The crystal system is orthorhombic. The raw total energy comes out at -232.368 eV per cell. Its magnetic moment is 0.0 μB/f.u.

a = 3.586 Å, b = 5.575 Å, c = 5.620 Å
α = 90.00°, β = 90.00°, γ = 90.00°
Space group Pmm2 (No. 25)
Symmetry-distinct sites (fractional):
1 Mg 0.000 0.000 0.000
2 Pb 0.000 0.500 0.368
3 Pb 0.500 0.000 0.507
4 Pb 0.500 0.500 0.876

=====

No. 8
HgSeCl2: single point on PBEsol structure, meta-GGA SCAN.

Computed properties:
The crystal system is monoclinic. The raw total energy comes out at -104.595 eV per cell. Its magnetic moment is 0.0 μB/f.u. As for the raw formation energy: -0.10 eV/atom.

a = 3.875 Å, b = 3.432 Å, c = 7.972 Å
α = 90.00°, β = 97.24°, γ = 90.00°
Space group P2/m (No. 10)
Symmetry-distinct sites (fractional):
1 Hg 0.000 0.000 0.000
2 Se 0.500 0.000 0.500
3 Cl 0.330 0.500 0.693

=====

No. 9
TmInNi: single point on PBEsol structure, meta-GGA SCAN.

Computed properties:
As for the energy of formation from the pure elements: -13.5 kcal/mol of atoms. The crystal system is hexagonal. The raw total energy comes out at -309.424 eV per cell. Its magnetic moment is 0.0 μB/f.u.

a = 7.2468 Å, b = 7.2468 Å, c = 3.7160 Å
α = 90.00°, β = 90.00°, γ = 120.00°
Space group P-62m (No. 189)
Symmetry-distinct sites (fractional):
1 Tm 0.0000 0.4102 0.0000
2 In 0.0000 0.7442 0.5000
3 Ni 0.0000 0.0000 0.0000
4 Ni 0.3333 0.6667 0.5000

=====

No. 10
CrAg2O2: single point on PBEsol structure, meta-GGA SCAN.

Computed properties:
The crystal system is tetragonal. The raw total energy comes out at -184.545 eV per cell. Its magnetic moment is 3.9 μB/f.u. As for the raw formation energy: 0.26 eV/atom.

a = 3.546 Å, b = 3.546 Å, c = 11.067 Å
α = 90.00°, β = 90.00°, γ = 90.00°
Space group I4/mmm (No. 139)
Symmetry-distinct sites (fractional):
1 Cr 0.000 0.000 0.000
2 Ag 0.000 0.500 0.250
3 O 0.000 0.000 0.401

=====

No. 11
BaSrZn3: single point on PBEsol structure, meta-GGA SCAN.

Computed properties:
As for the energy of formation from the pure elements: 8.7 kcal/mol of atoms. The crystal system is cubic. The raw total energy comes out at -100.488 eV per cell. Its magnetic moment is 0.0 μB/f.u.

a = 5.618 Å, b = 5.618 Å, c = 5.618 Å
α = 90.00°, β = 90.00°, γ = 90.00°
Space group Pm-3m (No. 221)
Symmetry-distinct sites (fractional):
1 Ba 0.000 0.000 0.000
2 Sr 0.500 0.500 0.500
3 Zn 0.000 0.500 0.500

=====

No. 12
Li2HfSb2: single point on PBEsol structure, meta-GGA SCAN.

Computed properties:
The crystal system is tetragonal. The raw total energy comes out at -287.326 eV per cell. Its magnetic moment is 0.0 μB/f.u. As for the raw formation energy: -0.34 eV/atom.

a = 7.897 Å, b = 7.897 Å, c = 3.229 Å
α = 90.00°, β = 90.00°, γ = 90.00°
Space group P4/mbm (No. 127)
Symmetry-distinct sites (fractional):
1 Li 0.126 0.374 0.000
2 Hf 0.000 0.000 0.500
3 Sb 0.174 0.674 0.500

=====

No. 13
CaZnW2: single point on PBEsol structure, meta-GGA SCAN.

Computed properties:
As for the energy of formation from the pure elements: 19.2 kcal/mol of atoms. The crystal system is orthorhombic. The raw total energy comes out at -318.458 eV per cell. Its magnetic moment is 0.0 μB/f.u.

a = 5.459 Å, b = 9.516 Å, c = 2.666 Å
α = 90.00°, β = 90.00°, γ = 90.00°
Space group Cmmm (No. 65)
Symmetry-distinct sites (fractional):
1 Ca 0.000 0.000 0.000
2 Zn 0.000 0.500 0.000
3 W 0.250 0.250 0.500

=====

No. 14
AgPt2PbN: single point on PBEsol structure, meta-GGA SCAN.

Computed properties:
The crystal system is tetragonal. The raw total energy comes out at -254.407 eV per cell. Its magnetic moment is 0.0 μB/f.u. As for the raw formation energy: 0.48 eV/atom.

a = 4.243 Å, b = 4.243 Å, c = 4.491 Å
α = 90.00°, β = 90.00°, γ = 90.00°
Space group P4/mmm (No. 123)
Symmetry-distinct sites (fractional):
1 Ag 0.000 0.000 0.000
2 Pt 0.000 0.500 0.500
3 Pb 0.500 0.500 0.000
4 N 0.000 0.000 0.500

=====

No. 15
Mg5Ta: single point on PBEsol structure, meta-GGA SCAN.

Computed properties:
As for the energy of formation from the pure elements: 11.2 kcal/mol of atoms. The crystal system is cubic. The raw total energy comes out at -354.108 eV per cell. Its magnetic moment is 2.9 μB/f.u.

a = 7.927 Å, b = 7.927 Å, c = 7.927 Å
α = 90.00°, β = 90.00°, γ = 90.00°
Space group F-43m (No. 216)
Symmetry-distinct sites (fractional):
1 Mg 0.000 0.000 0.000
2 Mg 0.124 0.124 0.624
3 Ta 0.250 0.250 0.250

=====

No. 16
Y5B4Rh15: single point on PBEsol structure, meta-GGA SCAN.

Computed properties:
As for the energy of formation from the pure elements: -19.1 kcal/mol of atoms. The crystal system is tetragonal. The raw total energy comes out at -695.366 eV per cell. Its magnetic moment is 0.0 μB/f.u.

a = 4.140 Å, b = 4.140 Å, c = 20.258 Å
α = 90.00°, β = 90.00°, γ = 90.00°
Space group P4/mmm (No. 123)
Symmetry-distinct sites (fractional):
1 Y 0.000 0.000 0.000
2 Y 0.000 0.000 0.202
3 Y 0.000 0.000 0.404
4 B 0.500 0.500 0.103
5 B 0.500 0.500 0.313
6 Rh 0.000 0.500 0.102
7 Rh 0.000 0.500 0.303
8 Rh 0.000 0.500 0.500
9 Rh 0.500 0.500 0.000
10 Rh 0.500 0.500 0.205
11 Rh 0.500 0.500 0.412

=====

No. 17
Cs3InF: single point on PBEsol structure, meta-GGA SCAN.

Computed properties:
The crystal system is cubic. The raw total energy comes out at -155.880 eV per cell. Its magnetic moment is 0.0 μB/f.u. As for the raw formation energy: -1.10 eV/atom.

a = 5.927 Å, b = 5.927 Å, c = 5.927 Å
α = 90.00°, β = 90.00°, γ = 90.00°
Space group Pm-3m (No. 221)
Symmetry-distinct sites (fractional):
1 Cs 0.000 0.000 0.500
2 In 0.500 0.500 0.500
3 F 0.000 0.000 0.000

=====

No. 18
NaNb2CrSb: single point on PBEsol structure, meta-GGA SCAN.

Computed properties:
The crystal system is tetragonal. The raw total energy comes out at -121.454 eV per cell. Its magnetic moment is 1.0 μB/f.u. As for the raw formation energy: 0.93 eV/atom.

a = 4.524 Å, b = 4.524 Å, c = 5.053 Å
α = 90.00°, β = 90.00°, γ = 90.00°
Space group P4/mmm (No. 123)
Symmetry-distinct sites (fractional):
1 Na 0.000 0.000 0.000
2 Nb 0.000 0.500 0.500
3 Cr 0.000 0.000 0.500
4 Sb 0.500 0.500 0.000

=====

No. 19
BeTcRu3: single point on PBEsol structure, meta-GGA SCAN.

Computed properties:
As for the energy of formation from the pure elements: 43.6 kcal/mol of atoms. The crystal system is cubic. The raw total energy comes out at -134.439 eV per cell. Its magnetic moment is 1.4 μB/f.u.

a = 4.512 Å, b = 4.512 Å, c = 4.512 Å
α = 90.00°, β = 90.00°, γ = 90.00°
Space group Pm-3m (No. 221)
Symmetry-distinct sites (fractional):
1 Be 0.000 0.000 0.000
2 Tc 0.500 0.500 0.500
3 Ru 0.000 0.500 0.500

=====

No. 20
Gd2TiZnO6: single point on PBEsol structure, meta-GGA SCAN.

Computed properties:
The crystal system is monoclinic. The raw total energy comes out at -433.861 eV per cell. Its magnetic moment is 14.0 μB/f.u. As for the raw formation energy: -3.24 eV/atom.

a = 5.326 Å, b = 5.653 Å, c = 9.276 Å
α = 90.00°, β = 124.44°, γ = 90.00°
Space group P2_1/c (No. 14)
Symmetry-distinct sites (fractional):
1 Gd 0.229 0.069 0.248
2 Ti 0.500 0.000 0.000
3 Zn 0.000 0.000 0.500
4 O 0.149 0.186 0.946
5 O 0.257 0.707 0.940
6 O 0.369 0.040 0.757